[1]
## Cu3PbBr (SCAN)

Data for a crystal of Cu3PbBr relaxed with PBEsol.

## Properties
Uncorrected energy: -27.31 eV per atom
Calculated density: 6.61 g/cm3

Cell: 4.9326 4.9326 4.9326 Å, 90.00 90.00 90.00°
Last column: nearest neighbours and their distance in Å.
Sites, in units of the cell vectors:
Pb (0.0000, 0.0000, 0.0000)  6 Cu 2.47
Br (0.5000, 0.5000, 0.5000)  12 Cu 3.49
Cu (0.0000, 0.5000, 0.0000)  2 Pb 2.47
Cu (0.0000, 0.0000, 0.5000)  2 Pb 2.47
Cu (0.5000, 0.0000, 0.0000)  2 Pb 2.47

---

[2]
## ZnBr (SCAN)

Data for a crystal of ZnBr relaxed with PBEsol.

## Properties
Uncorrected energy: -16.86 eV per atom
Calculated density: 5.48 g/cm3

Cell: 3.4541 5.2762 5.5034 Å, 118.64 90.00 90.00°
Last column: nearest neighbours and their distance in Å.
Sites, in units of the cell vectors:
Zn (0.7500, 0.4032, 0.8065)  1 Br 2.38, 2 Zn 2.54
Br (0.7500, 0.1567, 0.3134)  1 Zn 2.38
Zn (0.2500, 0.5968, 0.1935)  1 Br 2.38, 2 Zn 2.54
Br (0.2500, 0.8433, 0.6866)  1 Zn 2.38

---

[3]
## CdCu2Ru (SCAN)

Data for a crystal of CdCu2Ru relaxed with PBEsol.

## Properties
Uncorrected energy: -23.62 eV per atom
Energy relative to the elements: 0.29 eV per atom
Calculated density: 10.19 g/cm3

Cell: 2.7041 2.7041 8.9060 Å, 81.27 81.27 60.00°
Last column: nearest neighbours and their distance in Å.
Sites, in units of the cell vectors:
Cd (0.0000, 0.0000, 0.0000)  6 Cd 2.70, 6 Cu 2.79
Ru (0.5000, 0.5000, 0.5000)  6 Cu 2.59, 6 Ru 2.70
Cu (0.7546, 0.7546, 0.7361)  3 Ru 2.59, 6 Cu 2.70, 3 Cd 2.79
Cu (0.2454, 0.2454, 0.2639)  3 Ru 2.59, 6 Cu 2.70, 3 Cd 2.79

---

[4]
## BaSr2Si (SCAN)

Data for a crystal of BaSr2Si relaxed with PBEsol.

## Properties
Uncorrected energy: -23.48 eV per atom
Calculated density: 4.15 g/cm3

Cell: 5.1496 5.1496 6.3034 Å, 114.11 114.11 90.00°
Last column: nearest neighbours and their distance in Å.
Sites, in units of the cell vectors:
Si (0.2500, 0.7500, 0.5000)  4 Ba 3.64, 8 Sr 3.64
Sr (0.7500, 0.2500, 0.5000)  4 Ba 3.64, 4 Sr 3.64, 4 Si 3.64
Sr (0.0000, 0.0000, 0.0000)  4 Sr 3.64, 4 Si 3.64, 4 Ba 3.64
Ba (0.5000, 0.5000, 0.0000)  8 Sr 3.64, 4 Si 3.64

---

[5]
## CsTe2AsP (SCAN)

Data for a crystal of CsTe2AsP relaxed with PBEsol.

## Properties
Uncorrected energy: -28.49 eV per atom
Calculated density: 5.55 g/cm3

Cell: 4.9089 5.4869 5.4869 Å, 90.00 90.00 90.00°
Last column: nearest neighbours and their distance in Å.
Sites, in units of the cell vectors:
Te (0.0000, 0.0000, 0.5000)  2 P 2.74
P (0.0000, 0.0000, 0.0000)  2 As 2.45, 4 Te 2.74
As (0.5000, 0.0000, 0.0000)  2 P 2.45
Te (0.0000, 0.5000, 0.0000)  2 P 2.74
Cs (0.5000, 0.5000, 0.5000)  8 Te 3.68, 4 As 3.88

---

[6]
## BaZr3Cr (SCAN)

Data for a crystal of BaZr3Cr relaxed with PBEsol.

## Properties
Uncorrected energy: -28.12 eV per atom
Energy relative to the elements: 1.89 eV per atom
Calculated density: 5.50 g/cm3

Cell: 5.1892 5.1892 5.1892 Å, 90.00 90.00 90.00°
Last column: nearest neighbours and their distance in Å.
Sites, in units of the cell vectors:
Zr (0.0000, 0.0000, 0.5000)  2 Ba 2.59
Cr (0.5000, 0.5000, 0.5000)  12 Zr 3.67
Ba (0.0000, 0.0000, 0.0000)  6 Zr 2.59
Zr (0.5000, 0.0000, 0.0000)  2 Ba 2.59
Zr (0.0000, 0.5000, 0.0000)  2 Ba 2.59

---

[7]
## MgMnPt (SCAN)

Data for a crystal of MgMnPt relaxed with PBEsol.

## Properties
Uncorrected energy: -31.75 eV per atom
Energy relative to the elements: -0.61 eV per atom
Calculated density: 8.12 g/cm3

Cell: 4.2963 4.2963 4.2963 Å, 60.00 60.00 60.00°
Last column: nearest neighbours and their distance in Å.
Sites, in units of the cell vectors:
Mn (0.5000, 0.5000, 0.5000)  4 Pt 2.63
Mg (0.0000, 0.0000, 0.0000)  4 Pt 2.63
Pt (0.7500, 0.7500, 0.7500)  4 Mn 2.63, 4 Mg 2.63

---

[8]
## YSc3 (SCAN)

Data for a crystal of YSc3 relaxed with PBEsol.

## Properties
Uncorrected energy: -17.56 eV per atom
Energy above the most stable polymorph in this dataset: 65 meV/atom
Energy relative to the elements: 0.08 eV per atom
Calculated density: 3.70 g/cm3

Cell: 3.3031 3.3031 9.2055 Å, 90.00 90.00 90.00°
Last column: nearest neighbours and their distance in Å.
Sites, in units of the cell vectors:
Sc (0.0000, 0.0000, 0.7383)  8 Sc 3.20-3.30, 4 Y 3.36
Sc (0.5000, 0.5000, 0.5000)  12 Sc 3.20-3.30
Y (0.5000, 0.5000, 0.0000)  4 Y 3.30, 8 Sc 3.36
Sc (0.0000, 0.0000, 0.2617)  8 Sc 3.20-3.30, 4 Y 3.36

---

[9]
## Sc2SiP (SCAN)

Data for a crystal of Sc2SiP relaxed with PBEsol.

## Properties
Uncorrected energy: -12.83 eV per atom
Energy above the most stable polymorph in this dataset: 383 meV/atom
Calculated density: 3.55 g/cm3

Cell: 4.6188 4.6188 4.6188 Å, 60.00 60.00 60.00°
Last column: nearest neighbours and their distance in Å.
Sites, in units of the cell vectors:
Sc (0.7500, 0.7500, 0.7500)  4 Si 2.83, 4 P 2.83
P (0.0000, 0.0000, 0.0000)  8 Sc 2.83
Sc (0.2500, 0.2500, 0.2500)  4 Si 2.83, 4 P 2.83
Si (0.5000, 0.5000, 0.5000)  8 Sc 2.83

---

[10]
## MgCo2Ni (SCAN)

Data for a crystal of MgCo2Ni relaxed with PBEsol.

## Properties
Uncorrected energy: -13.77 eV per atom
Energy relative to the elements: 0.17 eV per atom
Calculated density: 7.05 g/cm3

Cell: 2.5512 2.5512 7.2742 Å, 90.00 90.00 89.96°
Last column: nearest neighbours and their distance in Å.
Sites, in units of the cell vectors:
Ni (0.5000, 0.5000, 0.0000)  8 Co 2.43, 4 Ni 2.55
Co (0.0000, 0.0000, 0.7755)  4 Ni 2.43, 4 Co 2.55, 4 Mg 2.70
Mg (0.5000, 0.5000, 0.5000)  4 Mg 2.55, 8 Co 2.70
Co (0.0000, 0.0000, 0.2245)  4 Ni 2.43, 4 Co 2.55, 4 Mg 2.70

---

[11]
## Te2MoIrN (SCAN)

Data for a crystal of Te2MoIrN relaxed with PBEsol.

## Properties
Uncorrected energy: -37.32 eV per atom
Calculated density: 8.93 g/cm3

Cell: 3.6206 5.3507 5.3507 Å, 90.00 90.00 90.00°
Last column: nearest neighbours and their distance in Å.
Sites, in units of the cell vectors:
Ir (0.0000, 0.0000, 0.0000)  2 N 1.81
Mo (0.5000, 0.5000, 0.5000)  8 Te 3.23
Te (0.0000, 0.0000, 0.5000)  2 Ir 2.68
Te (0.0000, 0.5000, 0.0000)  2 Ir 2.68
N (0.5000, 0.0000, 0.0000)  2 Ir 1.81

---

[12]
## CuS2BrCl (SCAN)

Data for a crystal of CuS2BrCl relaxed with PBEsol.

## Properties
Uncorrected energy: -11.86 eV per atom
Calculated density: 4.32 g/cm3

Cell: 4.4682 4.5715 4.5715 Å, 90.00 90.00 90.00°
Last column: nearest neighbours and their distance in Å.
Sites, in units of the cell vectors:
S (0.0000, 0.5000, 0.0000)  2 Cu 2.29
S (0.0000, 0.0000, 0.5000)  2 Cu 2.29
Cu (0.0000, 0.0000, 0.0000)  2 Cl 2.23, 4 S 2.29
Br (0.5000, 0.5000, 0.5000)  8 S 3.20, 4 Cl 3.23
Cl (0.5000, 0.0000, 0.0000)  2 Cu 2.23

---

[13]
## AsRu2Se (SCAN)

Data for a crystal of AsRu2Se relaxed with PBEsol.

## Properties
Uncorrected energy: -26.95 eV per atom
Energy above the most stable polymorph in this dataset: 0 meV/atom
Calculated density: 9.73 g/cm3

Cell: 2.9271 4.0747 5.0946 Å, 90.00 90.00 90.00°
Last column: nearest neighbours and their distance in Å.
Sites, in units of the cell vectors:
Se (0.5000, 0.5000, 0.0000)  4 Ru 2.51
Ru (0.5000, 0.0000, 0.5000)  4 As 2.51
As (0.0000, 0.5000, 0.5000)  4 Ru 2.51
Ru (0.0000, 0.0000, 0.0000)  4 Se 2.51

---

[14]
## RbTl2Ga2 (SCAN)

Data for a crystal of RbTl2Ga2 relaxed with PBEsol.

## Properties
Uncorrected energy: -39.76 eV per atom
Energy relative to the elements: -0.13 eV per atom
Calculated density: 7.66 g/cm3

Cell: 4.9074 4.9074 6.6783 Å, 111.56 111.56 90.00°
Last column: nearest neighbours and their distance in Å.
Sites, in units of the cell vectors:
Ga (0.6120, 0.6120, 0.2240)  1 Ga 2.56
Tl (0.2500, 0.7500, 0.5000)  4 Ga 2.92
Ga (0.3880, 0.3880, 0.7760)  1 Ga 2.56
Rb (0.0000, 0.0000, 0.0000)  8 Ga 3.70, 8 Tl 3.76
Tl (0.7500, 0.2500, 0.5000)  4 Ga 2.92